# 1
Here is MnSbIr2 after structural relaxation from Alexandria. Energies are from GGA-PBE.

Results
- Final energy: -7.670 eV per atom
- Symmetry: I-4m2 (119)
- Uncorrected formation energy: 0.08 eV/atom

Lattice parameters (Å, degrees): 3.915 3.915 8.291 90.00 90.00 90.00
Fractional coordinates of all 8 atoms:
1 Mn 0.000 0.000 0.000
2 Mn 0.500 0.500 0.500
3 Sb 0.000 0.500 0.250
4 Sb 0.500 0.000 0.750
5 Ir 0.000 0.000 0.500
6 Ir 0.000 0.500 0.750
7 Ir 0.500 0.000 0.250
8 Ir 0.500 0.500 0.000



# 2
Here is MnSbIr after structural relaxation from Alexandria. Energies are from GGA-PBE.

Results
- Final energy: -7.577 eV per atom
- Symmetry: F-43m (216)
- Uncorrected formation energy: -0.19 eV/atom

Lattice parameters (Å, degrees): 6.116 6.116 6.116 90.00 90.00 90.00
Fractional coordinates of all 12 atoms:
1 Mn 0.000 0.000 0.000
2 Mn 0.000 0.500 0.500
3 Mn 0.500 0.000 0.500
4 Mn 0.500 0.500 0.000
5 Sb 0.000 0.000 0.500
6 Sb 0.000 0.500 0.000
7 Sb 0.500 0.000 0.000
8 Sb 0.500 0.500 0.500
9 Ir 0.250 0.250 0.250
10 Ir 0.250 0.750 0.750
11 Ir 0.750 0.250 0.750
12 Ir 0.750 0.750 0.250



# 3
Here is MnSb2Ir after structural relaxation from Alexandria. Energies are from GGA-PBE.

Results
- Final energy: -6.520 eV per atom
- Symmetry: P4mm (99)
- Uncorrected formation energy: 0.05 eV/atom
- ΔE to the lowest computed polymorph: 0.22 eV/f.u.

Lattice parameters (Å, degrees): 3.341 3.341 7.733 90.00 90.00 90.00
Fractional coordinates of all 4 atoms:
1 Mn 0.000 0.000 0.000
2 Sb 0.000 0.000 0.626
3 Sb 0.500 0.500 0.199
4 Ir 0.500 0.500 0.826



# 4
Here is Mn2SbIr after structural relaxation from Alexandria. Energies are from GGA-PBE.

Results
- Final energy: -7.774 eV per atom
- Symmetry: I-4m2 (119)
- Uncorrected formation energy: 0.06 eV/atom

Lattice parameters (Å, degrees): 3.918 3.918 8.140 90.00 90.00 90.00
Fractional coordinates of all 8 atoms:
1 Mn 0.000 0.000 0.000
2 Mn 0.000 0.500 0.250
3 Mn 0.500 0.000 0.750
4 Mn 0.500 0.500 0.500
5 Sb 0.000 0.500 0.750
6 Sb 0.500 0.000 0.250
7 Ir 0.000 0.000 0.500
8 Ir 0.500 0.500 0.000



# 5
Here is MnTcSbIr after structural relaxation from Alexandria. Energies are from GGA-PBE.

Results
- Final energy: -8.155 eV per atom
- Symmetry: F-43m (216)
- Uncorrected formation energy: -0.03 eV/atom

Lattice parameters (Å, degrees): 6.299 6.299 6.299 90.00 90.00 90.00
Fractional coordinates of all 16 atoms:
1 Mn 0.000 0.000 0.000
2 Mn 0.000 0.500 0.500
3 Mn 0.500 0.000 0.500
4 Mn 0.500 0.500 0.000
5 Tc 0.250 0.250 0.250
6 Tc 0.250 0.750 0.750
7 Tc 0.750 0.250 0.750
8 Tc 0.750 0.750 0.250
9 Sb 0.000 0.000 0.500
10 Sb 0.000 0.500 0.000
11 Sb 0.500 0.000 0.000
12 Sb 0.500 0.500 0.500
13 Ir 0.250 0.250 0.750
14 Ir 0.250 0.750 0.250
15 Ir 0.750 0.250 0.250
16 Ir 0.750 0.750 0.750



# 6
Here is MnSb2TeIr after structural relaxation from Alexandria. Energies are from GGA-PBE.

Results
- Final energy: -5.003 eV per atom
- Symmetry: P4/mmm (123)
- Uncorrected formation energy: 0.88 eV/atom
- ΔE to the lowest computed polymorph: 0.00 eV/f.u.

Lattice parameters (Å, degrees): 4.839 4.839 4.898 90.00 90.00 90.00
Fractional coordinates of all 5 atoms:
1 Mn 0.000 0.000 0.000
2 Sb 0.000 0.500 0.000
3 Sb 0.500 0.000 0.000
4 Te 0.000 0.000 0.500
5 Ir 0.500 0.500 0.500



# 7
Here is MnSb2TeIr after structural relaxation from Alexandria. Energies are from GGA-PBE.

Results
- Final energy: -4.643 eV per atom
- Symmetry: P4/mmm (123)
- Uncorrected formation energy: 1.24 eV/atom
- ΔE to the lowest computed polymorph: 1.80 eV/f.u.

Lattice parameters (Å, degrees): 5.048 5.048 5.462 90.00 90.00 90.00
Fractional coordinates of all 5 atoms:
1 Mn 0.000 0.000 0.000
2 Sb 0.000 0.500 0.500
3 Sb 0.500 0.000 0.500
4 Te 0.500 0.500 0.000
5 Ir 0.500 0.500 0.500



# 8
Here is MnSbTeIr2 after structural relaxation from Alexandria. Energies are from GGA-PBE.

Results
- Final energy: -5.596 eV per atom
- Symmetry: P4/mmm (123)
- Uncorrected formation energy: 1.23 eV/atom

Lattice parameters (Å, degrees): 4.920 4.920 4.903 90.00 90.00 90.00
Fractional coordinates of all 5 atoms:
1 Mn 0.000 0.000 0.000
2 Sb 0.000 0.000 0.500
3 Te 0.500 0.500 0.000
4 Ir 0.000 0.500 0.500
5 Ir 0.500 0.000 0.500